VASP calculation (PBE) on ZrFeCo2 after structural relaxation.

Values from the calculation:
Electronic total energy ... -7.764 eV/atom
Formation energy ... 3.2 meV per atom

Cell lengths 4.234, 4.234, 4.234 Å; angles 60.00, 60.00, 60.00 degrees
Fractional coordinates of all 4 atoms:
Co 0.000 0.000 0.000
Co 0.750 0.750 0.750
Fe 0.250 0.250 0.250
Zr 0.500 0.500 0.500

VASP calculation (PBE) on ZrFe2Co after structural relaxation.

Values from the calculation:
Electronic total energy ... -8.148 eV/atom
Formation energy ... -80.5 meV per atom

Cell lengths 4.257, 4.257, 4.257 Å; angles 60.00, 60.00, 60.00 degrees
Fractional coordinates of all 4 atoms:
Co 0.250 0.250 0.250
Fe 0.000 0.000 0.000
Fe 0.750 0.750 0.750
Zr 0.500 0.500 0.500

VASP calculation (PBE) on GaCo124 after structural relaxation.

Values from the calculation:
Electronic total energy ... -7.061 eV/atom

Cell lengths 12.431, 12.431, 12.431 Å; angles 60.00, 60.00, 60.00 degrees
Site moments in Bohr magnetons follow the coordinates.
Fractional coordinates of all 125 atoms:
Co 0.204 0.000 0.000  1.57
Co 0.399 0.000 0.000  1.63
Co 0.601 0.000 0.000  1.63
Co 0.796 0.000 0.000  1.57
Co 0.000 0.204 0.000  1.59
Co 0.796 0.204 0.000  1.57
Co 0.000 0.399 0.000  1.65
Co 0.601 0.399 0.000  1.63
Co 0.000 0.601 0.000  1.65
Co 0.399 0.601 0.000  1.63
Co 0.000 0.796 0.000  1.59
Co 0.204 0.796 0.000  1.57
Co 0.200 0.200 0.000  1.64
Co 0.599 0.200 0.000  1.63
Co 0.200 0.599 0.000  1.64
Co 0.800 0.600 0.000  1.65
Co 0.600 0.800 0.000  1.65
Co 0.600 0.600 0.000  1.65
Co 0.600 0.600 0.200  1.64
Co 0.200 0.800 0.200  1.64
Co 0.800 0.800 0.200  1.64
Co 0.800 0.200 0.200  1.64
Co 0.200 0.200 0.200  1.65
Co 0.400 0.200 0.200  1.65
Co 0.200 0.400 0.200  1.64
Co 0.000 0.400 0.200  1.65
Co 0.400 0.000 0.200  1.65
Co 0.400 0.400 0.200  1.65
Co 0.800 0.400 0.200  1.65
Co 0.800 0.600 0.200  1.65
Co 0.400 0.800 0.200  1.65
Co 0.600 0.800 0.200  1.65
Co 0.600 0.400 0.200  1.65
Co 0.400 0.600 0.200  1.65
Co 0.200 0.000 0.200  1.64
Co 0.599 0.000 0.200  1.63
Co 0.000 0.200 0.200  1.64
Co 0.599 0.200 0.200  1.63
Co 0.000 0.599 0.200  1.63
Co 0.200 0.599 0.200  1.64
Co 0.000 0.000 0.204  1.58
Co 0.796 0.000 0.204  1.57
Co 0.000 0.796 0.204  1.58
Co 0.000 0.000 0.399  1.65
Co 0.601 0.000 0.399  1.63
Co 0.000 0.601 0.399  1.65
Co 0.200 0.200 0.400  1.65
Co 0.400 0.600 0.400  1.65
Co 0.600 0.600 0.400  1.65
Co 0.600 0.400 0.400  1.65
Co 0.400 0.400 0.400  1.65
Co 0.800 0.400 0.400  1.65
Co 0.400 0.800 0.400  1.64
Co 0.200 0.600 0.400  1.65
Co 0.200 0.800 0.400  1.65
Co 0.600 0.200 0.400  1.65
Co 0.800 0.600 0.400  1.65
Co 0.600 0.800 0.400  1.65
Co 0.800 0.200 0.400  1.65
Co 0.400 0.200 0.400  1.65
Co 0.200 0.400 0.400  1.65
Co 0.000 0.400 0.400  1.65
Co 0.400 0.000 0.400  1.65
Co 0.000 0.200 0.400  1.65
Co 0.200 0.000 0.400  1.66
Co 0.800 0.800 0.401  1.64
Co 0.000 0.800 0.401  1.64
Co 0.800 0.000 0.401  1.63
Co 0.200 0.000 0.599  1.63
Co 0.000 0.200 0.599  1.64
Co 0.200 0.200 0.599  1.64
Co 0.600 0.000 0.600  1.65
Co 0.000 0.600 0.600  1.65
Co 0.800 0.600 0.600  1.65
Co 0.000 0.800 0.600  1.65
Co 0.600 0.800 0.600  1.65
Co 0.800 0.000 0.600  1.66
Co 0.800 0.400 0.600  1.65
Co 0.400 0.800 0.600  1.65
Co 0.800 0.200 0.600  1.65
Co 0.200 0.400 0.600  1.65
Co 0.200 0.800 0.600  1.65
Co 0.400 0.200 0.600  1.65
Co 0.600 0.200 0.600  1.64
Co 0.200 0.600 0.600  1.65
Co 0.600 0.600 0.600  1.65
Co 0.400 0.400 0.600  1.65
Co 0.600 0.400 0.600  1.65
Co 0.400 0.600 0.600  1.65
Co 0.800 0.800 0.600  1.65
Co 0.000 0.000 0.601  1.65
Co 0.399 0.000 0.601  1.63
Co 0.000 0.399 0.601  1.65
Co 0.000 0.000 0.796  1.58
Co 0.204 0.000 0.796  1.57
Co 0.000 0.204 0.796  1.58
Co 0.800 0.401 0.800  1.64
Co 0.000 0.401 0.800  1.63
Co 0.401 0.800 0.800  1.63
Co 0.401 0.000 0.800  1.63
Co 0.000 0.800 0.800  1.64
Co 0.800 0.000 0.800  1.64
Co 0.400 0.200 0.800  1.65
Co 0.600 0.200 0.800  1.65
Co 0.200 0.400 0.800  1.65
Co 0.600 0.400 0.800  1.65
Co 0.200 0.600 0.800  1.65
Co 0.400 0.600 0.800  1.65
Co 0.000 0.600 0.800  1.65
Co 0.600 0.000 0.800  1.65
Co 0.600 0.600 0.800  1.65
Co 0.800 0.600 0.800  1.64
Co 0.600 0.800 0.800  1.65
Co 0.800 0.800 0.800  1.65
Co 0.200 0.200 0.800  1.64
Co 0.800 0.200 0.800  1.64
Co 0.200 0.800 0.800  1.64
Co 0.400 0.400 0.800  1.64
Co 0.400 0.200 0.000  1.65
Co 0.400 0.400 0.000  1.65
Co 0.200 0.400 0.000  1.65
Co 0.800 0.800 0.000  1.64
Co 0.800 0.401 0.000  1.64
Co 0.401 0.800 0.000  1.63
Ga 0.000 0.000 0.000  -0.10

VASP calculation (PBE) on Ga3Co after structural relaxation.

Values from the calculation:
Electronic total energy ... -4.021 eV/atom

Cell lengths 5.223, 5.223, 4.857 Å; angles 90.00, 90.00, 120.00 degrees
Fractional coordinates of all 8 atoms:
Co 0.667 0.333 0.250
Co 0.333 0.667 0.750
Ga 0.170 0.340 0.250
Ga 0.660 0.830 0.250
Ga 0.170 0.830 0.250
Ga 0.830 0.170 0.750
Ga 0.340 0.170 0.750
Ga 0.830 0.660 0.750

VASP calculation (PBE) on GaCo15 after structural relaxation.

Values from the calculation:
Electronic total energy ... -6.776 eV/atom

Cell lengths 4.958, 2.494, 41.347 Å; angles 90.00, 90.01, 90.00 degrees
Site moments in Bohr magnetons follow the coordinates.
Fractional coordinates of all 32 atoms:
Co 0.375 0.000 0.183  1.57
Co 0.622 0.500 0.224  1.52
Co 0.128 0.500 0.224  1.52
Co 0.375 0.000 0.266  1.66
Co 0.875 0.000 0.267  1.63
Co 0.626 0.500 0.309  1.65
Co 0.124 0.500 0.309  1.66
Co 0.875 0.000 0.351  1.65
Co 0.375 0.000 0.351  1.65
Co 0.125 0.500 0.394  1.65
Co 0.625 0.500 0.394  1.65
Co 0.375 0.000 0.436  1.65
Co 0.875 0.000 0.436  1.65
Co 0.625 0.500 0.479  1.65
Co 0.125 0.500 0.479  1.65
Co 0.875 0.000 0.521  1.65
Co 0.375 0.000 0.521  1.65
Co 0.125 0.500 0.564  1.65
Co 0.625 0.500 0.564  1.65
Co 0.375 0.000 0.606  1.66
Co 0.875 0.000 0.606  1.66
Co 0.625 0.500 0.649  1.65
Co 0.125 0.500 0.649  1.66
Co 0.877 0.000 0.691  1.66
Co 0.374 0.000 0.691  1.66
Co 0.125 0.500 0.733  1.62
Co 0.625 0.500 0.734  1.67
Co 0.872 0.000 0.776  1.52
Co 0.378 0.000 0.776  1.52
Co 0.625 0.500 0.816  1.57
Ga 0.875 0.000 0.177  -0.06
Ga 0.125 0.500 0.823  -0.06

VASP calculation (PBE) on GaCo15 after structural relaxation.

Values from the calculation:
Electronic total energy ... -6.754 eV/atom

Cell lengths 4.961, 3.508, 33.642 Å; angles 90.00, 90.00, 90.00 degrees
Site moments in Bohr magnetons follow the coordinates.
Fractional coordinates of all 32 atoms:
Co 0.625 0.250 0.018  1.65
Co 0.125 0.250 0.019  1.65
Co 0.375 0.750 0.055  1.67
Co 0.875 0.750 0.056  1.65
Co 0.125 0.250 0.092  1.64
Co 0.625 0.250 0.092  1.64
Co 0.875 0.750 0.129  1.67
Co 0.375 0.750 0.129  1.66
Co 0.625 0.250 0.167  1.63
Co 0.125 0.250 0.167  1.63
Co 0.375 0.750 0.202  1.55
Co 0.875 0.750 0.204  1.64
Co 0.124 0.250 0.240  1.46
Co 0.626 0.250 0.240  1.46
Co 0.875 0.750 0.275  1.59
Co 0.125 0.250 0.725  1.63
Co 0.374 0.750 0.760  1.45
Co 0.876 0.750 0.760  1.45
Co 0.125 0.250 0.796  1.63
Co 0.625 0.250 0.798  1.55
Co 0.875 0.750 0.833  1.63
Co 0.375 0.750 0.833  1.63
Co 0.625 0.250 0.871  1.65
Co 0.125 0.250 0.871  1.67
Co 0.375 0.750 0.908  1.64
Co 0.875 0.750 0.908  1.64
Co 0.125 0.250 0.944  1.65
Co 0.625 0.250 0.945  1.67
Co 0.875 0.750 0.981  1.65
Co 0.375 0.750 0.982  1.66
Ga 0.375 0.750 0.279  -0.11
Ga 0.625 0.250 0.721  -0.11

VASP calculation (PBE) on Ga3Co after structural relaxation.

Values from the calculation:
Electronic total energy ... -4.014 eV/atom

Cell lengths 4.779, 4.779, 4.779 Å; angles 133.22, 133.22, 68.31 degrees
Fractional coordinates of all 4 atoms:
Co 0.000 0.000 0.000
Ga 0.500 0.500 0.000
Ga 0.750 0.250 0.500
Ga 0.250 0.750 0.500

VASP calculation (PBE) on GaCo15 after structural relaxation.

Values from the calculation:
Electronic total energy ... -6.755 eV/atom

Cell lengths 4.293, 33.713, 4.294 Å; angles 90.00, 109.32, 90.00 degrees
Site moments in Bohr magnetons follow the coordinates.
Fractional coordinates of all 32 atoms:
Co 0.000 0.260 0.000  1.44
Co 0.500 0.298 0.000  1.60
Co 0.000 0.333 0.000  1.63
Co 0.500 0.370 0.000  1.66
Co 0.000 0.408 0.000  1.64
Co 0.500 0.445 0.000  1.66
Co 0.000 0.482 0.000  1.65
Co 0.500 0.518 0.000  1.66
Co 0.000 0.555 0.000  1.66
Co 0.500 0.592 0.000  1.64
Co 0.000 0.630 0.000  1.66
Co 0.500 0.667 0.000  1.63
Co 0.000 0.702 0.000  1.60
Co 0.500 0.740 0.000  1.44
Co 0.000 0.226 0.500  1.65
Co 0.500 0.260 0.500  1.43
Co 0.000 0.297 0.500  1.60
Co 0.500 0.333 0.500  1.62
Co 0.000 0.371 0.500  1.67
Co 0.500 0.408 0.500  1.64
Co 0.000 0.445 0.500  1.66
Co 0.500 0.481 0.500  1.65
Co 0.000 0.519 0.500  1.65
Co 0.500 0.555 0.500  1.66
Co 0.000 0.592 0.500  1.64
Co 0.500 0.629 0.500  1.67
Co 0.000 0.667 0.500  1.62
Co 0.500 0.703 0.500  1.61
Co 0.000 0.740 0.500  1.43
Co 0.500 0.774 0.500  1.65
Ga 0.500 0.221 0.000  -0.11
Ga 0.000 0.779 0.000  -0.11

VASP calculation (PBE) on GaCo15 after structural relaxation.

Values from the calculation:
Electronic total energy ... -6.795 eV/atom

Cell lengths 3.503, 3.503, 41.450 Å; angles 90.00, 90.00, 90.00 degrees
Site moments in Bohr magnetons follow the coordinates.
Fractional coordinates of all 32 atoms:
Co 0.500 0.500 0.182  1.22
Co 0.500 0.000 0.225  1.53
Co 0.000 0.500 0.225  1.54
Co 0.000 0.000 0.266  1.66
Co 0.500 0.500 0.267  1.60
Co 0.000 0.500 0.309  1.66
Co 0.500 0.000 0.309  1.66
Co 0.000 0.000 0.351  1.64
Co 0.500 0.500 0.351  1.66
Co 0.000 0.500 0.394  1.65
Co 0.500 0.000 0.394  1.66
Co 0.000 0.000 0.436  1.65
Co 0.500 0.500 0.436  1.66
Co 0.000 0.500 0.479  1.65
Co 0.500 0.000 0.479  1.66
Co 0.000 0.000 0.521  1.66
Co 0.500 0.500 0.521  1.65
Co 0.000 0.500 0.564  1.66
Co 0.500 0.000 0.564  1.65
Co 0.000 0.000 0.606  1.66
Co 0.500 0.500 0.606  1.65
Co 0.000 0.500 0.649  1.66
Co 0.500 0.000 0.649  1.64
Co 0.000 0.000 0.691  1.66
Co 0.500 0.500 0.691  1.66
Co 0.000 0.500 0.733  1.60
Co 0.500 0.000 0.734  1.66
Co 0.500 0.500 0.775  1.54
Co 0.000 0.000 0.775  1.54
Co 0.000 0.500 0.818  1.23
Ga 0.000 0.000 0.178  -0.08
Ga 0.500 0.000 0.822  -0.08

VASP calculation (PBE) on GaCo17 after structural relaxation.

Values from the calculation:
Electronic total energy ... -6.772 eV/atom

Cell lengths 4.964, 4.964, 31.244 Å; angles 90.00, 90.00, 120.00 degrees
Site moments in Bohr magnetons follow the coordinates.
Fractional coordinates of all 36 atoms:
Co 0.168 0.336 0.242  1.60
Co 0.168 0.832 0.242  1.60
Co 0.664 0.832 0.242  1.60
Co 0.000 0.000 0.305  1.60
Co 0.005 0.502 0.306  1.61
Co 0.498 0.502 0.306  1.61
Co 0.498 0.995 0.306  1.61
Co 0.333 0.667 0.370  1.65
Co 0.332 0.166 0.370  1.64
Co 0.834 0.166 0.370  1.64
Co 0.834 0.668 0.370  1.64
Co 0.166 0.333 0.435  1.65
Co 0.166 0.834 0.435  1.65
Co 0.667 0.834 0.435  1.65
Co 0.667 0.333 0.435  1.64
Co 0.000 0.000 0.500  1.63
Co 0.500 0.000 0.500  1.64
Co 0.000 0.500 0.500  1.64
Co 0.500 0.500 0.500  1.64
Co 0.333 0.667 0.565  1.63
Co 0.333 0.166 0.565  1.65
Co 0.834 0.166 0.565  1.65
Co 0.834 0.667 0.565  1.65
Co 0.166 0.332 0.630  1.64
Co 0.166 0.834 0.630  1.64
Co 0.668 0.834 0.630  1.64
Co 0.667 0.333 0.630  1.65
Co 0.502 0.005 0.694  1.61
Co 0.502 0.498 0.694  1.61
Co 0.995 0.498 0.694  1.61
Co 0.000 0.000 0.695  1.60
Co 0.336 0.168 0.758  1.59
Co 0.832 0.168 0.758  1.59
Co 0.832 0.664 0.758  1.59
Ga 0.667 0.333 0.233  -0.10
Ga 0.333 0.667 0.767  -0.10

VASP calculation (PBE) on GaCo15 after structural relaxation.

Values from the calculation:
Electronic total energy ... -6.739 eV/atom

Cell lengths 7.004, 2.488, 33.606 Å; angles 90.00, 90.00, 90.00 degrees
Site moments in Bohr magnetons follow the coordinates.
Fractional coordinates of all 32 atoms:
Co 0.375 0.500 0.225  1.84
Co 0.131 0.000 0.259  1.45
Co 0.619 0.000 0.259  1.46
Co 0.375 0.500 0.296  1.67
Co 0.875 0.500 0.298  1.56
Co 0.625 0.000 0.333  1.63
Co 0.125 0.000 0.333  1.63
Co 0.875 0.500 0.370  1.68
Co 0.375 0.500 0.371  1.65
Co 0.125 0.000 0.408  1.64
Co 0.624 0.000 0.408  1.65
Co 0.375 0.500 0.444  1.65
Co 0.875 0.500 0.445  1.65
Co 0.625 0.000 0.481  1.64
Co 0.125 0.000 0.482  1.65
Co 0.875 0.500 0.518  1.64
Co 0.375 0.500 0.519  1.64
Co 0.125 0.000 0.555  1.65
Co 0.625 0.000 0.556  1.64
Co 0.376 0.500 0.592  1.64
Co 0.874 0.500 0.592  1.64
Co 0.625 0.000 0.629  1.65
Co 0.125 0.000 0.630  1.68
Co 0.875 0.500 0.667  1.63
Co 0.375 0.500 0.667  1.63
Co 0.125 0.000 0.702  1.57
Co 0.625 0.000 0.704  1.68
Co 0.381 0.500 0.741  1.48
Co 0.869 0.500 0.741  1.47
Co 0.625 0.000 0.775  1.84
Ga 0.875 0.500 0.222  -0.04
Ga 0.125 0.000 0.779  -0.04